(1)
# Zr2ScCu (PBE, optimized geometry)
# Density   6.00 g cm⁻³
# Magnetic moment   0.0 μB/f.u.
# Formation energy from the elements   0.07 eV/atom
# Offset from the most stable computed form   183 meV/atom
# Calculated volume   161.0 Å³/cell
# Fermi-level density of states   5.5 states/eV/f.u.
data_Zr2ScCu
_chemical_formula_sum 'Zr4 Sc2 Cu2'
_space_group_name_H-M_alt 'I -4 m 2'
_space_group_IT_number 119
_space_group_name_Hall 'I -4 -2'
_cell_length_a 4.2658
_cell_length_b 4.2658
_cell_length_c 8.8473
_cell_angle_alpha 90.00
_cell_angle_beta 90.00
_cell_angle_gamma 90.00
loop_
_atom_site_label
_atom_site_type_symbol
_atom_site_fract_x
_atom_site_fract_y
_atom_site_fract_z
Zr1 Zr 0.0000 0.0000 0.0000
Zr2 Zr 0.0000 0.5000 0.2500
Sc1 Sc 0.0000 0.0000 0.5000
Cu1 Cu 0.0000 0.5000 0.7500

***

(2)
# RbZnAu2 (PBE, optimized geometry)
# Density   9.61 g cm⁻³
# Magnetic moment   0.0 μB/f.u.
# Formation energy from the elements   -0.07 eV/atom
# Calculated volume   94.2 Å³/cell
# Fermi-level density of states   1.1 states/eV/f.u.
data_RbZnAu2
_chemical_formula_sum 'Rb1 Zn1 Au2'
_space_group_name_H-M_alt 'P 4/m m m'
_space_group_IT_number 123
_space_group_name_Hall '-P 4 2'
_cell_length_a 3.4128
_cell_length_b 3.4128
_cell_length_c 8.0852
_cell_angle_alpha 90.00
_cell_angle_beta 90.00
_cell_angle_gamma 90.00
loop_
_atom_site_label
_atom_site_type_symbol
_atom_site_fract_x
_atom_site_fract_y
_atom_site_fract_z
Rb1 Rb 0.0000 0.0000 0.0000
Zn1 Zn 0.0000 0.0000 0.5000
Au1 Au 0.5000 0.5000 0.3241

***

(3)
# Pr7Nd3Y2 (PBE, optimized geometry)
# Density   6.21 g cm⁻³
# Magnetic moment   0.0 μB/f.u.
# Formation energy from the elements   0.07 eV/atom
# Offset from the most stable computed form   0 meV/atom
# Calculated volume   426.8 Å³/cell
# Fermi-level density of states   18.4 states/eV/f.u.
data_Pr7Nd3Y2
_chemical_formula_sum 'Pr7 Nd3 Y2'
_space_group_name_H-M_alt 'P 1 2/m 1'
_space_group_IT_number 10
_space_group_name_Hall '-P 2y'
_cell_length_a 6.5959
_cell_length_b 3.6156
_cell_length_c 17.9945
_cell_angle_alpha 90.00
_cell_angle_beta 95.99
_cell_angle_gamma 90.00
loop_
_atom_site_label
_atom_site_type_symbol
_atom_site_fract_x
_atom_site_fract_y
_atom_site_fract_z
Pr1 Pr 0.0000 0.0000 0.0000
Pr2 Pr 0.2239 0.5000 0.1703
Pr3 Pr 0.2567 0.5000 0.4949
Pr4 Pr 0.2725 0.0000 0.8318
Nd1 Nd 0.4547 0.0000 0.3387
Nd2 Nd 0.5000 0.5000 0.0000
Y1 Y 0.0564 0.5000 0.6697

***

(4)
# Be2TeI (PBE, optimized geometry)
# Density   4.69 g cm⁻³
# Magnetic moment   0.0 μB/f.u.
# Offset from the most stable computed form   0 meV/atom
# Calculated volume   385.6 Å³/cell
# Fermi-level density of states   3.5 states/eV/f.u.
data_Be2TeI
_chemical_formula_sum 'Be8 Te4 I4'
_space_group_name_H-M_alt 'I -4 2 d'
_space_group_IT_number 122
_space_group_name_Hall 'I -4 2bw'
_cell_length_a 5.7219
_cell_length_b 5.7219
_cell_length_c 11.7790
_cell_angle_alpha 90.00
_cell_angle_beta 90.00
_cell_angle_gamma 90.00
loop_
_atom_site_label
_atom_site_type_symbol
_atom_site_fract_x
_atom_site_fract_y
_atom_site_fract_z
Be1 Be 0.2173 0.2500 0.1250
Te1 Te 0.0000 0.0000 0.0000
I1 I 0.0000 0.0000 0.5000

***

(5)
# PrGdAgPt (PBE, optimized geometry)
# Density   10.32 g cm⁻³
# Magnetic moment   7.2 μB/f.u.
# Formation energy from the elements   -0.68 eV/atom
# Calculated volume   386.9 Å³/cell
# Fermi-level density of states   2.8 states/eV/f.u.
data_PrGdAgPt
_chemical_formula_sum 'Pr4 Gd4 Ag4 Pt4'
_space_group_name_H-M_alt 'F -4 3 m'
_space_group_IT_number 216
_space_group_name_Hall 'F -4 2 3'
_cell_length_a 7.2865
_cell_length_b 7.2865
_cell_length_c 7.2865
_cell_angle_alpha 90.00
_cell_angle_beta 90.00
_cell_angle_gamma 90.00
loop_
_atom_site_label
_atom_site_type_symbol
_atom_site_fract_x
_atom_site_fract_y
_atom_site_fract_z
Pr1 Pr 0.0000 0.0000 0.0000
Gd1 Gd 0.0000 0.0000 0.5000
Ag1 Ag 0.2500 0.2500 0.7500
Pt1 Pt 0.2500 0.2500 0.2500